1.
First-principles (PBE-GGA) data for an optimized crystal structure of Dy2SbPb, as listed in Alexandria via LeMat-Bulk.

a = 7.351 Å, b = 4.249 Å, c = 8.161 Å
α = 90.00°, β = 107.52°, γ = 90.00°
Space group C2/m (No. 12)
Symmetry-distinct sites (fractional):
Dy  0.245  0.000  0.236 [4 per cell]
Sb  0.000  0.500  0.000 [2 per cell]
Pb  0.000  0.000  0.500 [2 per cell]

The crystal system is monoclinic. The value obtained for the density of states at the Fermi level is 1.67 states/eV/cell. The value obtained for the density is 8.9 g/cm3. Its uncorrected formation energy is -0.750 eV per atom.

***

2.
First-principles (PBE-GGA) data for an optimized crystal structure of Dy8Sb5Pb, as listed in Alexandria via LeMat-Bulk.

a = 9.235 Å, b = 9.235 Å, c = 9.211 Å
α = 90.00°, β = 90.00°, γ = 90.00°
Space group I-4 (No. 82)
Symmetry-distinct sites (fractional):
Dy  0.072  0.178  0.305 [8 per cell]
Dy  0.072  0.326  0.947 [8 per cell]
Sb  0.000  0.500  0.250 [2 per cell]
Sb  0.126  0.250  0.626 [8 per cell]
Pb  0.000  0.000  0.000 [2 per cell]

The crystal system is tetragonal. The value obtained for the density of states at the Fermi level is 29.36 states/eV/cell. The value obtained for the density is 8.9 g/cm3. Its uncorrected formation energy is -0.912 eV per atom.

***

3.
First-principles (PBE-GGA) data for an optimized crystal structure of Dy3SbPb, as listed in Alexandria via LeMat-Bulk.

a = 4.618 Å, b = 8.703 Å, c = 10.124 Å
α = 105.93°, β = 90.07°, γ = 105.32°
Space group P-1 (No. 2)
Symmetry-distinct sites (fractional):
Dy  0.018  0.036  0.185 [2 per cell]
Dy  0.178  0.355  0.562 [2 per cell]
Dy  0.355  0.710  0.961 [2 per cell]
Sb  0.165  0.330  0.851 [2 per cell]
Pb  0.373  0.747  0.648 [2 per cell]

The crystal system is triclinic. The value obtained for the density of states at the Fermi level is 5.72 states/eV/cell. The value obtained for the density is 7.2 g/cm3. Its uncorrected formation energy is -0.305 eV per atom.

***

4.
First-principles (PBE-GGA) data for an optimized crystal structure of Dy6Sb5Pb, as listed in Alexandria via LeMat-Bulk.

a = 7.610 Å, b = 13.203 Å, c = 7.602 Å
α = 90.00°, β = 109.59°, γ = 90.00°
Space group C2/m (No. 12)
Symmetry-distinct sites (fractional):
Dy  0.247  0.000  0.251 [4 per cell]
Dy  0.248  0.169  0.749 [8 per cell]
Sb  0.000  0.000  0.500 [2 per cell]
Sb  0.000  0.167  0.000 [4 per cell]
Sb  0.000  0.334  0.500 [4 per cell]
Pb  0.000  0.500  0.000 [2 per cell]

The crystal system is monoclinic. The value obtained for the density of states at the Fermi level is 10.35 states/eV/cell. The value obtained for the density is 8.3 g/cm3. Its uncorrected formation energy is -0.991 eV per atom.

***

5.
First-principles (PBE-GGA) data for an optimized crystal structure of Dy3Sb2Pb, as listed in Alexandria via LeMat-Bulk.

a = 4.318 Å, b = 6.237 Å, c = 13.461 Å
α = 90.00°, β = 90.00°, γ = 90.00°
Space group Immm (No. 71)
Symmetry-distinct sites (fractional):
Dy  0.000  0.000  0.000 [2 per cell]
Dy  0.000  0.000  0.327 [4 per cell]
Sb  0.000  0.500  0.334 [4 per cell]
Pb  0.000  0.500  0.000 [2 per cell]

The crystal system is orthorhombic. The value obtained for the density of states at the Fermi level is 5.79 states/eV/cell. The value obtained for the density is 8.6 g/cm3. Its uncorrected formation energy is -0.860 eV per atom.

***

6.
First-principles (PBE-GGA) data for an optimized crystal structure of Dy2SbPb, as listed in Alexandria via LeMat-Bulk.

a = 4.1764 Å, b = 4.1764 Å, c = 24.4491 Å
α = 90.00°, β = 90.00°, γ = 120.00°
Space group R3m (No. 160, hexagonal axes)
Symmetry-distinct sites (fractional):
Dy  0.0000  0.0000  0.0000 [3 per cell]
Dy  0.0000  0.0000  0.1816 [3 per cell]
Sb  0.0000  0.0000  0.5920 [3 per cell]
Pb  0.0000  0.0000  0.4234 [3 per cell]

The crystal system is trigonal. The value obtained for the density of states at the Fermi level is 6.67 states/eV/cell. The value obtained for the density is 8.8 g/cm3. Its uncorrected formation energy is -0.667 eV per atom.

***

7.
First-principles (PBE-GGA) data for an optimized crystal structure of Dy4SbPb, as listed in Alexandria via LeMat-Bulk.

a = 8.896 Å, b = 13.907 Å, c = 6.288 Å
α = 90.00°, β = 114.77°, γ = 90.00°
Space group C2/c (No. 15)
Symmetry-distinct sites (fractional):
Dy  0.106  0.190  0.068 [8 per cell]
Dy  0.200  0.414  0.329 [8 per cell]
Sb  0.000  0.002  0.750 [4 per cell]
Pb  0.000  0.384  0.750 [4 per cell]

The crystal system is monoclinic. The value obtained for the density of states at the Fermi level is 26.88 states/eV/cell. The value obtained for the density is 9.2 g/cm3. Its uncorrected formation energy is -0.477 eV per atom.

***

8.
First-principles (PBE-GGA) data for an optimized crystal structure of Dy2SbPb, as listed in Alexandria via LeMat-Bulk.

a = 4.480 Å, b = 24.071 Å, c = 4.387 Å
α = 90.00°, β = 90.00°, γ = 90.00°
Space group Cmcm (No. 63)
Symmetry-distinct sites (fractional):
Dy  0.000  0.063  0.250 [4 per cell]
Dy  0.000  0.314  0.250 [4 per cell]
Sb  0.000  0.187  0.250 [4 per cell]
Pb  0.000  0.450  0.250 [4 per cell]

The crystal system is orthorhombic. The value obtained for the density of states at the Fermi level is 5.63 states/eV/cell. The value obtained for the density is 9.2 g/cm3. Its uncorrected formation energy is -0.806 eV per atom.